# 1
# ZnCo2Au

A relaxed ZnCo2Au crystal (PBE, Alexandria).

* uncorrected energy: -4.520 eV/atom
* calculated volume: 13.344 Å³ per atom
* M_tot: 2.63 μB/cell
* symmetry: No. 123

The structure in POSCAR format:
```
ZnCo2Au
1.0
3.027 0.000 0.000
0.000 3.027 0.000
0.000 0.000 5.824
Zn Co Au
1 2 1
Direct
0.000 0.000 0.000
0.500 0.500 0.223
0.500 0.500 0.777
0.000 0.000 0.500
```



# 2
# BeAs2Se

A relaxed BeAs2Se crystal (PBE, Alexandria).

* distance to the lowest polymorph of the same formula: 94.45 kJ/mol of atoms
* calculated volume: 17.413 Å³ per atom
* M_tot: 0.00 μB/cell
* symmetry: No. 225

The structure in POSCAR format:
```
BeAs2Se
1.0
0.000 3.266 3.266
3.266 0.000 3.266
3.266 3.266 0.000
Be As Se
1 2 1
Direct
0.000 0.000 0.000
0.250 0.250 0.250
0.750 0.750 0.750
0.500 0.500 0.500
```



# 3
# Ac2CeNd3Se6

A relaxed Ac2CeNd3Se6 crystal (PBE, Alexandria).

* uncorrected energy: -5.949 eV/atom
* calculated volume: 28.301 Å³ per atom
* M_tot: 1.25 μB/cell
* symmetry: No. 12

The structure in POSCAR format:
```
Ac2CeNd3Se6
1.0
9.389 -2.144 0.000
9.389 2.144 0.000
-2.006 0.000 8.435
Ac Ce Nd Se
2 1 3 6
Direct
0.165 0.165 0.331
0.835 0.835 0.669
0.500 0.500 0.000
0.168 0.168 0.837
0.500 0.500 0.500
0.832 0.832 0.163
0.005 0.005 0.753
0.335 0.335 0.926
0.336 0.336 0.407
0.664 0.664 0.593
0.665 0.665 0.074
0.995 0.995 0.247
```



# 4
# Ti3AuN

A relaxed Ti3AuN crystal (PBE, Alexandria).

* uncorrected energy: -7.992 eV/atom
* calculated volume: 14.289 Å³ per atom
* M_tot: 0.00 μB/cell
* symmetry: No. 11

The structure in POSCAR format:
```
Ti3AuN
1.0
6.152 0.000 0.000
0.000 3.060 0.000
-0.207 0.000 7.591
Ti Au N
6 2 2
Direct
0.100 0.250 0.142
0.149 0.250 0.596
0.362 0.750 0.875
0.638 0.250 0.125
0.851 0.750 0.404
0.900 0.750 0.858
0.376 0.750 0.352
0.624 0.250 0.648
0.129 0.250 0.868
0.871 0.750 0.132
```



What did the first record say?
# ZnCo2Au

A relaxed ZnCo2Au crystal (PBE, Alexandria).

* uncorrected energy: -4.520 eV/atom
* calculated volume: 13.344 Å³ per atom
* M_tot: 2.63 μB/cell
* symmetry: No. 123

The structure in POSCAR format:
```
ZnCo2Au
1.0
3.027 0.000 0.000
0.000 3.027 0.000
0.000 0.000 5.824
Zn Co Au
1 2 1
Direct
0.000 0.000 0.000
0.500 0.500 0.223
0.500 0.500 0.777
0.000 0.000 0.500
```